This record from OQMD via LeMat-Bulk describes a relaxed InCoOsAu crystal. The functional is PBE-GGA.

Geometry as CIF:
```
data_InCoOsAu
_cell_length_a 6.348
_cell_length_b 6.348
_cell_length_c 6.348
_cell_angle_alpha 90.00
_cell_angle_beta 90.00
_cell_angle_gamma 90.00
_space_group_name_H-M_alt 'F -4 3 m'
_space_group_IT_number 216
_space_group_name_Hall 'F -4 2 3'
loop_
_atom_site_label
_atom_site_fract_x
_atom_site_fract_y
_atom_site_fract_z
In1 0.000 0.000 0.000
Co1 0.250 0.250 0.250
Os1 0.250 0.250 0.750
Au1 0.000 0.000 0.500
```

***

This record from OQMD via LeMat-Bulk describes a relaxed InCoReAu crystal. The functional is PBE-GGA.

Geometry as CIF:
```
data_InCoReAu
_cell_length_a 6.370
_cell_length_b 6.370
_cell_length_c 6.370
_cell_angle_alpha 90.00
_cell_angle_beta 90.00
_cell_angle_gamma 90.00
_space_group_name_H-M_alt 'F -4 3 m'
_space_group_IT_number 216
_space_group_name_Hall 'F -4 2 3'
loop_
_atom_site_label
_atom_site_fract_x
_atom_site_fract_y
_atom_site_fract_z
In1 0.000 0.000 0.000
Co1 0.250 0.250 0.250
Re1 0.000 0.000 0.500
Au1 0.250 0.250 0.750
```

***

This record from OQMD via LeMat-Bulk describes a relaxed InCoAuS3 crystal. The functional is PBE-GGA.

Geometry as CIF:
```
data_InCoAuS3
_cell_length_a 3.532
_cell_length_b 13.406
_cell_length_c 9.649
_cell_angle_alpha 90.00
_cell_angle_beta 90.00
_cell_angle_gamma 90.00
_space_group_name_H-M_alt 'C m c m'
_space_group_IT_number 63
_space_group_name_Hall '-C 2c 2'
loop_
_atom_site_label
_atom_site_fract_x
_atom_site_fract_y
_atom_site_fract_z
In1 0.000 0.178 0.250
Co1 0.000 0.500 0.000
Au1 0.000 0.158 0.750
S1 0.000 0.109 0.515
S2 0.000 0.463 0.750
```

***

This record from OQMD via LeMat-Bulk describes a relaxed InCoAuSeS2 crystal. The functional is PBE-GGA.

Geometry as CIF:
```
data_InCoAuSeS2
_cell_length_a 3.519
_cell_length_b 13.802
_cell_length_c 9.800
_cell_angle_alpha 90.00
_cell_angle_beta 90.00
_cell_angle_gamma 90.00
_space_group_name_H-M_alt 'C m c m'
_space_group_IT_number 63
_space_group_name_Hall '-C 2c 2'
loop_
_atom_site_label
_atom_site_fract_x
_atom_site_fract_y
_atom_site_fract_z
In1 0.000 0.190 0.250
Co1 0.000 0.500 0.000
Au1 0.000 0.152 0.750
Se1 0.000 0.464 0.750
S1 0.000 0.106 0.515
```

***

Total energy
In order: -5.550, -5.770, -4.471, -4.347
Unit: eV/atom